[1]
PBE LiPm2Pa, optimized geometry; SG = P4/mmm, No. 123; magnetic moment = 0.0 Bohr magnetons per cell; energy = -19.81 eV/cell; energy of formation = 1.1 eV per formula unit; crystal system = tetragonal
1.0
3.412 0.000 0.000
0.000 5.715 0.000
0.000 0.000 5.715
Li Pa Pm
1 1 2
direct
0.500 0.000 0.000 Li
0.500 0.500 0.500 Pa
0.000 0.500 0.000 Pm
0.000 0.000 0.500 Pm

[2]
PBE In2AuCl, optimized geometry; SG = Imm2, No. 44; magnetic moment = 0.0 Bohr magnetons per cell; energy = -11.81 eV/cell; crystal system = orthorhombic; formation energy (no corrections) = -0.3022 eV per atom
1.0
6.612 0.011 -0.002
3.880 5.355 0.002
-4.833 -3.491 2.861
In Cl Au
2 1 1
direct
0.984 0.984 0.000 In
0.730 0.230 0.500 In
0.257 0.757 0.500 Cl
0.528 0.528 0.000 Au

[3]
PBE U4GeSb, optimized geometry; SG = Cccm, No. 66; magnetic moment = 0.9 Bohr magnetons per cell; energy = -109.87 eV/cell; crystal system = orthorhombic; formation energy (no corrections) = -0.1737 eV per atom
1.0
-0.969 -0.326 -5.168
-1.634 -4.149 2.805
-9.162 4.576 1.430
Sb U Ge
2 8 2
direct
0.000 0.500 0.000 Sb
0.500 0.000 0.500 Sb
0.137 0.358 0.500 U
0.642 0.863 0.000 U
0.139 0.861 0.250 U
0.861 0.139 0.750 U
0.358 0.137 0.000 U
0.139 0.861 0.750 U
0.861 0.139 0.250 U
0.863 0.642 0.500 U
0.500 0.500 0.250 Ge
0.500 0.500 0.750 Ge

[4]
PBE GaTc2BSb, optimized geometry; SG = P4/mmm, No. 123; magnetic moment = 3.5 Bohr magnetons per cell; energy = -22.51 eV/cell; crystal system = tetragonal; formation energy (no corrections) = 2.4103 eV per atom
1.0
4.974 0.000 0.000
0.000 5.185 0.000
0.000 0.000 4.974
Tc Ga B Sb
2 1 1 1
direct
0.500 0.000 0.000 Tc
0.000 0.000 0.500 Tc
0.000 0.500 0.000 Ga
0.500 0.500 0.500 B
0.000 0.000 0.000 Sb

[5]
PBE NdSmHoIn, optimized geometry; SG = F-43m, No. 216; magnetic moment = 0.8 Bohr magnetons per cell; energy = -17.40 eV/cell; energy of formation = -0.6 eV per formula unit; crystal system = cubic
1.0
5.538 0.000 0.000
2.769 4.796 0.000
2.769 1.599 4.521
Nd In Sm Ho
1 1 1 1
direct
0.000 0.000 0.000 Nd
0.250 0.250 0.250 In
0.500 0.500 0.500 Sm
0.750 0.750 0.750 Ho

[6]
PBE ThGe2IrRu, optimized geometry; SG = I-4m2, No. 119; magnetic moment = 0.0 Bohr magnetons per cell; energy = -38.53 eV/cell; energy of formation = -3.7 eV per formula unit; crystal system = tetragonal
1.0
-3.091 -2.744 -1.009
1.053 -2.416 3.341
-2.263 5.200 1.763
Ge Th Ir Ru
2 1 1 1
direct
0.374 0.374 0.748 Ge
0.626 0.626 0.252 Ge
0.000 0.000 0.000 Th
0.750 0.250 0.500 Ir
0.250 0.750 0.500 Ru

[7]
PBE LiFe2Re, optimized geometry; SG = P2/m, No. 10; magnetic moment = 4.2 Bohr magnetons per cell; energy = -30.31 eV/cell; energy of formation = 1.0 eV per formula unit; crystal system = monoclinic
1.0
4.114 0.000 0.000
0.000 2.501 -0.008
0.000 0.917 4.865
Fe Li Re
2 1 1
direct
0.000 0.022 0.999 Fe
0.000 0.478 0.501 Fe
0.500 0.250 0.250 Li
0.500 0.750 0.750 Re

[8]
PBE LiTcC2O, optimized geometry; SG = P4/mmm, No. 123; magnetic moment = 0.0 Bohr magnetons per cell; energy = -24.05 eV/cell; crystal system = tetragonal; formation energy (no corrections) = 2.3273 eV per atom
1.0
-2.647 0.195 -1.834
-1.251 -4.293 1.349
-1.630 1.255 2.485
C Tc Li O
2 1 1 1
direct
0.500 0.000 0.000 C
0.000 0.000 0.500 C
0.000 0.500 0.000 Tc
0.000 0.000 0.000 Li
0.500 0.500 0.500 O